[1]
Below is crystalline U3Fe4Ge2 at its relaxed geometry, with properties calculated at the PBE-GGA level.

Properties
Energy relative to the elements, meV/atom: -250.3

Cell and atoms, written as POSCAR:
```
U3Fe4Ge2
1.0
-3.755 0.980 1.857
2.826 -2.910 2.267
3.589 6.583 3.780
U Fe Ge
3 4 2
Cartesian
-0.164 2.545 3.307
2.825 2.108 4.597
0.000 0.000 0.000
3.758 4.815 5.055
-1.097 -0.162 2.849
2.478 3.666 3.075
0.182 0.988 4.829
1.269 4.805 5.012
1.391 -0.152 2.892
```

[2]
Below is crystalline UFe6Ge6 at its relaxed geometry, with properties calculated at the PBE-GGA level.

Properties
Energy relative to the elements, meV/atom: -169.0

Cell and atoms, written as POSCAR:
```
UFe6Ge6
1.0
-2.532 -0.447 -4.429
-0.248 -6.153 -2.198
-6.302 -1.547 0.798
Fe Ge U
6 6 1
Cartesian
-1.390 -3.300 -3.313
-4.417 -0.997 -1.815
-6.035 -2.937 -2.175
-3.047 -5.210 -3.654
-3.151 -0.774 0.399
-0.124 -3.076 -1.099
-5.199 -5.262 -2.418
-3.883 -2.886 -3.411
-1.937 -1.435 -1.708
-7.145 -6.712 -4.120
-4.199 -3.147 -0.242
-2.351 -4.553 -1.157
0.000 0.000 0.000
```

[3]
Below is crystalline UFe4Ge at its relaxed geometry, with properties calculated at the PBE-GGA level.

Properties
Energy relative to the elements, meV/atom: 7.5
Excess energy over the best structure of this formula in the dataset, eV/f.u.: 0.000

Cell and atoms, written as POSCAR:
```
UFe4Ge
1.0
-0.427 1.619 -4.604
-2.371 -2.695 -3.334
-4.359 1.468 -1.686
Fe U Ge
4 1 1
Cartesian
-2.277 -0.498 -5.177
-4.269 -0.574 -3.699
-4.485 0.245 -6.031
-3.284 1.610 -4.342
-1.789 0.098 -2.406
0.000 0.000 0.000
```

[4]
Below is crystalline UFe3Ge2 at its relaxed geometry, with properties calculated at the PBE-GGA level.

Properties
Energy relative to the elements, meV/atom: -150.1
Excess energy over the best structure of this formula in the dataset, eV/f.u.: 0.359

Cell and atoms, written as POSCAR:
```
UFe3Ge2
1.0
4.053 0.000 0.000
-2.026 7.629 0.096
0.000 -3.345 5.963
Fe U Ge
6 2 4
Cartesian
0.000 5.063 2.091
2.026 1.442 2.960
2.026 4.923 3.679
0.000 -0.638 2.379
0.000 2.843 3.099
2.026 -0.779 3.967
2.026 2.370 5.725
0.000 1.915 0.334
2.026 -0.249 1.229
0.000 0.748 4.350
2.026 3.536 1.709
0.000 4.534 4.830
```

[5]
Below is crystalline U2FeGe at its relaxed geometry, with properties calculated at the PBE-GGA level.

Properties
Energy relative to the elements, meV/atom: 274.6

Cell and atoms, written as POSCAR:
```
U2FeGe
1.0
-0.296 2.143 -1.988
-1.595 -0.455 -2.425
-8.584 3.762 3.161
U Ge Fe
2 1 1
Cartesian
-6.692 3.001 2.060
-3.783 2.448 -3.311
-5.237 2.725 -0.626
0.000 0.000 0.000
```

[6]
Below is crystalline U4Fe7Ge6 at its relaxed geometry, with properties calculated at the PBE-GGA level.

Properties
Energy relative to the elements, meV/atom: -305.8

Cell and atoms, written as POSCAR:
```
U4Fe7Ge6
1.0
6.603 0.000 -2.334
-3.301 5.718 -2.334
0.000 0.000 7.003
Fe U Ge
7 4 6
Cartesian
2.476 1.430 3.502
3.301 2.859 -1.167
4.127 1.430 1.167
0.000 0.000 0.000
-0.825 4.289 1.167
0.825 4.289 -1.167
0.000 2.859 3.502
1.651 2.859 1.167
3.301 0.000 -1.167
0.000 0.000 3.502
-1.651 2.859 -1.167
2.251 3.899 -3.183
-1.050 1.819 1.485
-2.251 3.899 3.183
1.050 1.819 -1.485
4.502 0.000 3.183
2.101 0.000 1.485
```

[7]
Below is crystalline U5Fe3Ge3 at its relaxed geometry, with properties calculated at the PBE-GGA level.

Properties
Energy relative to the elements, meV/atom: 191.4

Cell and atoms, written as POSCAR:
```
U5Fe3Ge3
1.0
2.979 0.000 0.000
0.000 7.472 -4.314
0.000 0.000 8.628
U Fe Ge
5 3 3
Cartesian
1.490 5.027 2.902
1.490 2.445 -1.412
1.490 4.981 0.000
1.490 2.491 4.314
1.490 0.000 2.823
1.490 6.260 -3.614
1.490 1.212 0.700
1.490 0.000 7.228
0.000 0.000 5.396
0.000 4.673 -2.698
0.000 2.799 1.616
```

[8]
Below is crystalline UFe2Ge at its relaxed geometry, with properties calculated at the PBE-GGA level.

Properties
Energy relative to the elements, meV/atom: -42.6
Excess energy over the best structure of this formula in the dataset, eV/f.u.: 1.100

Cell and atoms, written as POSCAR:
```
UFe2Ge
1.0
-0.821 2.332 2.401
-2.890 1.556 -2.499
-2.775 -2.609 1.585
Fe Ge U
2 1 1
Cartesian
-1.387 -1.305 0.792
-1.445 0.778 -1.250
-0.411 1.166 1.201
-3.243 0.639 0.743
```

[9]
Below is crystalline UFeGe2 at its relaxed geometry, with properties calculated at the PBE-GGA level.

Properties
Energy relative to the elements, meV/atom: -4.5

Cell and atoms, written as POSCAR:
```
UFeGe2
1.0
2.939 0.000 0.000
0.000 2.939 0.000
0.000 0.000 7.361
U Ge Fe
1 2 1
Cartesian
1.469 1.469 3.681
0.000 0.000 1.427
0.000 0.000 5.934
1.469 1.469 0.000
```

[10]
Below is crystalline UFe3Ge2 at its relaxed geometry, with properties calculated at the PBE-GGA level.

Properties
Energy relative to the elements, meV/atom: -209.9
Excess energy over the best structure of this formula in the dataset, eV/f.u.: 0.000

Cell and atoms, written as POSCAR:
```
UFe3Ge2
1.0
3.953 0.000 0.000
-1.976 7.648 -2.550
0.000 -0.249 9.096
Fe Ge U
9 6 3
Cartesian
1.976 1.822 1.199
1.976 2.511 7.875
0.000 2.980 2.512
1.976 -0.125 4.548
1.976 6.834 3.391
0.000 0.565 3.155
0.000 4.888 -1.329
1.976 4.419 4.034
0.000 5.577 5.347
0.000 2.970 0.105
1.976 4.429 6.441
0.000 5.316 2.899
0.000 7.107 -0.420
1.976 2.083 3.646
1.976 0.292 6.966
1.976 5.182 0.682
0.000 2.217 5.864
0.000 0.000 0.000
```

[11]
Below is crystalline UFe5Ge2 at its relaxed geometry, with properties calculated at the PBE-GGA level.

Properties
Energy relative to the elements, meV/atom: -69.8

Cell and atoms, written as POSCAR:
```
UFe5Ge2
1.0
-1.471 -0.662 2.730
4.663 -1.581 3.970
1.574 4.769 3.845
Fe Ge U
5 2 1
Cartesian
3.119 1.594 3.907
4.043 0.482 5.977
0.724 2.044 4.567
1.984 -0.546 4.618
2.783 3.072 5.926
3.553 1.884 7.894
1.214 0.642 2.651
0.000 0.000 0.000
```

[12]
Below is crystalline UFe2Ge at its relaxed geometry, with properties calculated at the PBE-GGA level.

Properties
Energy relative to the elements, meV/atom: -65.8
Excess energy over the best structure of this formula in the dataset, eV/f.u.: 1.007

Cell and atoms, written as POSCAR:
```
UFe2Ge
1.0
-1.112 2.637 0.350
-0.509 0.161 -2.833
-6.028 -2.667 0.932
Fe U Ge
2 1 1
Cartesian
-1.267 -0.561 0.196
-4.761 -2.107 0.736
-3.825 0.065 -0.776
-0.811 1.399 -1.241
```

Density of states at the Fermi level, respectively: 10.5, 12.5, 11.1, 7.1, 7.9, 14.5, 21.1, 5.0, 5.4, 6.4, 8.1, 1.6 states/eV/f.u..